La5U3As8: relaxed, PBE.

As for the magnetic moment: 7.26 μB per cell. The formation energy is -1.23 eV/atom. For the total energy, the calculation gives -7.213 eV per atom.

Structure (POSCAR):
```
La5U3As8
1.0
4.241 2.449 7.021
-4.241 2.449 7.021
0.000 -4.897 7.021
La U As
5 3 8
Direct
0.000 0.000 0.000
0.000 0.500 0.500
0.500 0.000 0.500
0.500 0.500 0.000
0.500 0.500 0.500
0.000 0.000 0.500
0.000 0.500 0.000
0.500 0.000 0.000
0.235 0.750 0.750
0.244 0.244 0.244
0.250 0.250 0.765
0.250 0.765 0.250
0.750 0.235 0.750
0.750 0.750 0.235
0.756 0.756 0.756
0.765 0.250 0.250
```

---

LaU2As3: relaxed, PBE.

As for the magnetic moment: 5.05 μB per cell. The formation energy is -0.96 eV/atom. For the total energy, the calculation gives -7.874 eV per atom.

Structure (POSCAR):
```
LaU2As3
1.0
-2.068 2.953 6.344
2.068 -2.953 6.344
2.068 2.953 -6.344
La U As
1 2 3
Direct
0.000 0.000 0.000
0.336 0.336 0.000
0.664 0.664 0.000
0.176 0.676 0.500
0.500 0.000 0.500
0.824 0.324 0.500
```

---

La3UAs4: relaxed, PBE.

As for the magnetic moment: 2.35 μB per cell. The formation energy is -1.34 eV/atom. For the total energy, the calculation gives -6.923 eV per atom.

Structure (POSCAR):
```
La3UAs4
1.0
4.316 -6.075 0.000
4.316 6.075 0.000
0.000 0.000 4.283
La U As
3 1 4
Direct
0.000 0.000 0.000
0.000 0.500 0.500
0.500 0.000 0.500
0.500 0.500 0.000
0.259 0.741 0.000
0.264 0.264 0.500
0.736 0.736 0.500
0.741 0.259 0.000
```

---

> magnetic moment of number 3 (La3UAs4)?

2.35 μB per cell

---

> Which value of magnetic moment does entry 2 give?

5.05 μB per cell